# 1
Crystalline Ti5Zn2Ga5 at its relaxed geometry, computed with PBE-GGA.

Cell: 13.711 4.123 8.526 Å, 90.00 127.71 90.00°
Space group C2/m (No. 12)
Inequivalent atoms, fractional coordinates:
Ti  0.000  0.000  0.000
Ti  0.095  0.000  0.777
Ti  0.176  0.000  0.524
Zn  0.152  0.500  0.038
Ga  0.000  0.500  0.500
Ga  0.069  0.500  0.267
Ga  0.239  0.500  0.788

Properties
ρ = 6.3 g cm⁻³
Calculated total energy = -5.117 eV/atom
E_form = -0.354 eV per atom
Crystal system = monoclinic


# 2
Crystalline Ti3Zn2Ga at its relaxed geometry, computed with PBE-GGA.

Cell: 2.835 2.835 11.635 Å, 90.00 90.00 90.00°
Space group P4/mmm (No. 123)
Inequivalent atoms, fractional coordinates:
Ti  0.000  0.000  0.000
Ti  0.000  0.000  0.334
Zn  0.500  0.500  0.166
Ga  0.500  0.500  0.500

Properties
ρ = 6.1 g cm⁻³
Calculated total energy = -5.165 eV/atom
E_form = -0.289 eV per atom
Crystal system = tetragonal


# 3
Crystalline Ti3Zn2Ga4 at its relaxed geometry, computed with PBE-GGA.

Cell: 9.502 4.239 7.936 Å, 90.00 118.69 90.00°
Space group C2/m (No. 12)
Inequivalent atoms, fractional coordinates:
Ti  0.000  0.000  0.000
Ti  0.165  0.500  0.669
Zn  0.112  0.500  0.280
Ga  0.062  0.000  0.393
Ga  0.215  0.500  0.053

Properties
ρ = 6.6 g cm⁻³
Calculated total energy = -4.591 eV/atom
E_form = -0.331 eV per atom
Crystal system = monoclinic


# 4
Crystalline Ti5ZnGa2 at its relaxed geometry, computed with PBE-GGA.

Cell: 3.782 9.603 14.504 Å, 90.00 90.00 90.00°
Space group Cmcm (No. 63)
Inequivalent atoms, fractional coordinates:
Ti  0.000  0.039  0.092
Ti  0.000  0.348  0.034
Ti  0.000  0.443  0.250
Zn  0.000  0.162  0.250
Ga  0.000  0.244  0.650

Properties
ρ = 5.6 g cm⁻³
Calculated total energy = -6.041 eV/atom
E_form = -0.191 eV per atom
Crystal system = orthorhombic


# 5
Crystalline TiZn3Ga at its relaxed geometry, computed with PBE-GGA.

Cell: 4.602 4.602 4.602 Å, 90.00 90.00 90.00°
Space group Pm-3m (No. 221)
Inequivalent atoms, fractional coordinates:
Ti  0.000  0.000  0.000
Zn  0.000  0.500  0.500
Ga  0.500  0.500  0.500

Properties
ρ = 5.3 g cm⁻³
Calculated total energy = -2.307 eV/atom
E_form = 0.642 eV per atom
Crystal system = cubic


# 6
Crystalline Ti5ZnGa2 at its relaxed geometry, computed with PBE-GGA.

Cell: 4.023 4.023 15.811 Å, 90.00 90.00 90.00°
Space group I4/mmm (No. 139)
Inequivalent atoms, fractional coordinates:
Ti  0.000  0.000  0.000
Ti  0.000  0.500  0.128
Zn  0.000  0.000  0.500
Ga  0.000  0.000  0.250

Properties
ρ = 5.8 g cm⁻³
Calculated total energy = -6.138 eV/atom
E_form = -0.288 eV per atom
Crystal system = tetragonal


# 7
Crystalline Ti2ZnGa2 at its relaxed geometry, computed with PBE-GGA.

Cell: 4.165 14.102 5.405 Å, 90.00 90.00 90.00°
Space group Cmc2_1 (No. 36)
Inequivalent atoms, fractional coordinates:
Ti  0.000  0.008  0.000
Ti  0.000  0.192  0.466
Zn  0.000  0.393  0.241
Ga  0.000  0.194  0.962
Ga  0.000  0.408  0.755

Properties
ρ = 6.3 g cm⁻³
Calculated total energy = -4.910 eV/atom
E_form = -0.287 eV per atom
Crystal system = orthorhombic


# 8
Crystalline Ti2Zn3Ga2 at its relaxed geometry, computed with PBE-GGA.

Cell: 9.470 4.032 5.877 Å, 90.00 99.73 90.00°
Space group C2/m (No. 12)
Inequivalent atoms, fractional coordinates:
Ti  0.103  0.000  0.337
Zn  0.000  0.500  0.000
Zn  0.205  0.000  0.870
Ga  0.113  0.500  0.639

Properties
ρ = 6.5 g cm⁻³
Calculated total energy = -3.868 eV/atom
E_form = -0.202 eV per atom
Crystal system = monoclinic


# 9
Crystalline Ti3ZnGa at its relaxed geometry, computed with PBE-GGA.

Cell: 6.4202 6.4202 4.8943 Å, 90.00 90.00 120.00°
Space group P6_3/mmc (No. 194)
Inequivalent atoms, fractional coordinates:
Ti  0.1975  0.3949  0.2500
Zn  0.0000  0.0000  0.0000
Ga  0.3333  0.6667  0.7500

Properties
ρ = 5.3 g cm⁻³
Calculated total energy = -5.472 eV/atom
E_form = 0.125 eV per atom
Crystal system = hexagonal


# 10
Crystalline TiZn3Ga at its relaxed geometry, computed with PBE-GGA.

Cell: 4.178 27.714 2.842 Å, 90.00 90.00 90.00°
Space group Cmmm (No. 65)
Inequivalent atoms, fractional coordinates:
Ti  0.000  0.179  0.000
Zn  0.000  0.081  0.500
Zn  0.000  0.271  0.500
Zn  0.000  0.453  0.000
Ga  0.000  0.362  0.500

Properties
ρ = 6.3 g cm⁻³
Calculated total energy = -3.046 eV/atom
E_form = -0.097 eV per atom
Crystal system = orthorhombic


# 11
Crystalline Ti6ZnGa12 at its relaxed geometry, computed with PBE-GGA.

Cell: 12.4378 12.4378 6.9375 Å, 90.00 90.00 120.00°
Space group R-3 (No. 148, hexagonal axes)
Inequivalent atoms, fractional coordinates:
Ti  0.0319  0.7658  0.3436
Zn  0.0000  0.0000  0.0000
Ga  0.0148  0.8726  0.6785
Ga  0.0590  0.4897  0.6680

Properties
ρ = 6.4 g cm⁻³
Calculated total energy = -4.765 eV/atom
E_form = -0.293 eV per atom
Crystal system = trigonal


# 12
Crystalline Ti6ZnGa3 at its relaxed geometry, computed with PBE-GGA.

Cell: 7.691 4.587 9.779 Å, 90.00 111.81 90.00°
Space group P2_1/m (No. 11)
Inequivalent atoms, fractional coordinates:
Ti  0.051  0.250  0.425
Ti  0.155  0.750  0.177
Ti  0.252  0.250  0.022
Ti  0.342  0.750  0.778
Ti  0.349  0.250  0.325
Ti  0.436  0.250  0.628
Zn  0.459  0.750  0.080
Ga  0.044  0.750  0.875
Ga  0.136  0.250  0.721
Ga  0.272  0.750  0.474

Properties
ρ = 5.8 g cm⁻³
Calculated total energy = -6.099 eV/atom
E_form = -0.326 eV per atom
Crystal system = monoclinic


# 13
Crystalline Ti7Zn3Ga at its relaxed geometry, computed with PBE-GGA.

Cell: 4.762 8.459 9.388 Å, 90.00 90.00 90.00°
Space group Immm (No. 71)
Inequivalent atoms, fractional coordinates:
Ti  0.000  0.000  0.000
Ti  0.000  0.194  0.500
Ti  0.000  0.318  0.221
Zn  0.000  0.000  0.278
Zn  0.000  0.500  0.000
Ga  0.000  0.500  0.500

Properties
ρ = 5.3 g cm⁻³
Calculated total energy = -5.559 eV/atom
E_form = 0.087 eV per atom
Crystal system = orthorhombic


# 14
Crystalline Ti8ZnGa5 at its relaxed geometry, computed with PBE-GGA.

Cell: 7.780 7.780 7.800 Å, 90.00 90.00 90.00°
Space group I-4 (No. 82)
Inequivalent atoms, fractional coordinates:
Ti  0.072  0.175  0.201
Ti  0.076  0.322  0.555
Zn  0.000  0.500  0.250
Ga  0.000  0.000  0.500
Ga  0.126  0.251  0.878

Properties
ρ = 5.6 g cm⁻³
Calculated total energy = -5.939 eV/atom
E_form = -0.255 eV per atom
Crystal system = tetragonal


# 15
Crystalline Ti5ZnGa3 at its relaxed geometry, computed with PBE-GGA.

Cell: 9.061 7.579 9.776 Å, 90.00 96.83 90.00°
Space group C2/m (No. 12)
Inequivalent atoms, fractional coordinates:
Ti  0.000  0.167  0.000
Ti  0.031  0.000  0.295
Ti  0.200  0.307  0.656
Ti  0.220  0.000  0.845
Zn  0.032  0.500  0.256
Ga  0.000  0.500  0.000
Ga  0.000  0.500  0.500
Ga  0.205  0.000  0.547
Ga  0.249  0.000  0.116

Properties
ρ = 5.1 g cm⁻³
Calculated total energy = -5.422 eV/atom
E_form = 0.115 eV per atom
Crystal system = monoclinic


# 16
Crystalline Ti2ZnGa4 at its relaxed geometry, computed with PBE-GGA.

Cell: 4.749 4.749 12.906 Å, 90.00 90.00 90.00°
Space group I4/mmm (No. 139)
Inequivalent atoms, fractional coordinates:
Ti  0.000  0.000  0.101
Zn  0.000  0.000  0.500
Ga  0.000  0.000  0.306
Ga  0.000  0.500  0.000

Properties
ρ = 5.0 g cm⁻³
Calculated total energy = -3.872 eV/atom
E_form = 0.296 eV per atom
Crystal system = tetragonal


# 17
Crystalline Ti2ZnGa2 at its relaxed geometry, computed with PBE-GGA.

Cell: 6.546 6.546 3.761 Å, 90.00 90.00 90.00°
Space group P4/mbm (No. 127)
Inequivalent atoms, fractional coordinates:
Ti  0.172  0.328  0.000
Zn  0.000  0.000  0.500
Ga  0.132  0.632  0.500

Properties
ρ = 6.2 g cm⁻³
Calculated total energy = -4.942 eV/atom
E_form = -0.319 eV per atom
Crystal system = tetragonal


# 18
Crystalline Ti6ZnGa at its relaxed geometry, computed with PBE-GGA.

Cell: 4.019 4.019 8.020 Å, 90.00 90.00 90.00°
Space group P4/mmm (No. 123)
Inequivalent atoms, fractional coordinates:
Ti  0.000  0.000  0.000
Ti  0.000  0.000  0.500
Ti  0.000  0.500  0.249
Zn  0.500  0.500  0.500
Ga  0.500  0.500  0.000

Properties
ρ = 5.4 g cm⁻³
Calculated total energy = -6.673 eV/atom
E_form = -0.215 eV per atom
Crystal system = tetragonal


# 19
Crystalline Ti12Zn3Ga at its relaxed geometry, computed with PBE-GGA.

Cell: 4.017 4.017 16.050 Å, 90.00 90.00 90.00°
Space group P4/mmm (No. 123)
Inequivalent atoms, fractional coordinates:
Ti  0.000  0.000  0.000
Ti  0.000  0.000  0.250
Ti  0.000  0.000  0.500
Ti  0.000  0.500  0.125
Ti  0.000  0.500  0.375
Zn  0.500  0.500  0.000
Zn  0.500  0.500  0.250
Ga  0.500  0.500  0.500

Properties
ρ = 5.4 g cm⁻³
Calculated total energy = -6.511 eV/atom
E_form = -0.162 eV per atom
Crystal system = tetragonal


# 20
Crystalline Ti3Zn3Ga2 at its relaxed geometry, computed with PBE-GGA.

Cell: 4.221 10.822 5.601 Å, 90.00 90.00 90.00°
Space group Pmmn (No. 59, origin choice 2)
Inequivalent atoms, fractional coordinates:
Ti  0.250  0.097  0.084
Ti  0.250  0.750  0.784
Zn  0.250  0.250  0.516
Zn  0.250  0.502  0.636
Ga  0.250  0.636  0.244

Properties
ρ = 6.2 g cm⁻³
Calculated total energy = -4.310 eV/atom
E_form = -0.114 eV per atom
Crystal system = orthorhombic